Density functional theory data (PBE) for Dy6GaTe3S2 after structural relaxation.

SG: C2/m (12)
Calculated volume (Å³/cell): 311.4
ΔE_f (raw) (eV per atom): -1.449

Lattice parameters (Å, degrees): 7.134 7.134 7.445 99.18 99.18 119.89
Element x y z (fractional)
Dy 0.094 0.429 0.786
Dy 0.236 0.236 0.212
Dy 0.429 0.094 0.786
Dy 0.571 0.906 0.214
Dy 0.764 0.764 0.788
Dy 0.906 0.571 0.214
Ga 0.500 0.500 0.000
Te 0.000 0.000 0.500
Te 0.334 0.666 0.500
Te 0.666 0.334 0.500
S 0.167 0.833 0.000
S 0.833 0.167 0.000

=====

Density functional theory data (PBE) for Dy8CuRu2 after structural relaxation.

Energy relative to the elements (eV/atom): -0.15
SG: Cm (8)
Calculated volume (Å³/cell): 295.4

Lattice parameters (Å, degrees): 7.539 7.539 5.904 99.96 99.96 112.18
Element x y z (fractional)
Dy 0.000 0.000 0.000
Dy 0.024 0.288 0.596
Dy 0.149 0.589 0.192
Dy 0.288 0.024 0.596
Dy 0.440 0.705 0.798
Dy 0.589 0.149 0.192
Dy 0.705 0.440 0.798
Dy 0.734 0.734 0.387
Cu 0.369 0.369 0.032
Ru 0.053 0.674 0.697
Ru 0.674 0.053 0.697

=====

Density functional theory data (PBE) for CaMgH2Rh after structural relaxation.

Energy (eV/f.u.): -16.9
SG: P4/mmm (123)
Calculated volume (Å³/cell): 79.5

Lattice parameters (Å, degrees): 3.930 3.930 5.146 90.00 90.00 90.00
Element x y z (fractional)
Ca 0.000 0.000 0.000
Mg 0.500 0.500 0.500
H 0.000 0.500 0.500
H 0.500 0.000 0.500
Rh 0.500 0.500 0.000

=====

Density functional theory data (PBE) for Ba7Ga2H2 after structural relaxation.

Energy (eV/f.u.): -27.7
SG: C2/m (12)
Calculated volume (Å³/cell): 494.6

Lattice parameters (Å, degrees): 8.507 8.507 7.235 101.38 101.38 97.98
Element x y z (fractional)
Ba 0.000 0.000 0.000
Ba 0.112 0.450 0.749
Ba 0.380 0.380 0.258
Ba 0.450 0.112 0.749
Ba 0.550 0.888 0.251
Ba 0.620 0.620 0.742
Ba 0.888 0.550 0.251
Ga 0.279 0.721 0.500
Ga 0.721 0.279 0.500
H 0.215 0.215 0.912
H 0.785 0.785 0.088

=====

Density functional theory data (PBE) for Mn4HIr after structural relaxation.

Energy (eV/f.u.): -49.4
SG: P-1 (2)
Calculated volume (Å³/cell): 128.0

Lattice parameters (Å, degrees): 4.523 5.247 5.889 102.46 97.77 106.45
Element x y z (fractional)
Mn 0.015 0.261 0.002
Mn 0.187 0.144 0.399
Mn 0.392 0.551 0.801
Mn 0.400 0.054 0.792
Mn 0.600 0.946 0.208
Mn 0.608 0.449 0.199
Mn 0.813 0.856 0.601
Mn 0.985 0.739 0.998
H 0.290 0.077 0.084
H 0.710 0.923 0.916
Ir 0.207 0.651 0.392
Ir 0.793 0.349 0.608

=====

Density functional theory data (PBE) for PaInI6 after structural relaxation.

Excess energy over the best structure of this formula in the dataset (meV/atom): 9
SG: P-1 (2)
Calculated volume (Å³/cell): 394.9
ΔE_f (raw) (eV per atom): -0.821

Lattice parameters (Å, degrees): 7.948 7.954 8.547 90.07 117.67 119.97
Element x y z (fractional)
Pa 0.000 0.000 0.000
In 0.000 0.500 0.500
I 0.158 0.215 0.765
I 0.179 0.393 0.235
I 0.450 0.057 0.236
I 0.550 0.943 0.764
I 0.821 0.607 0.765
I 0.842 0.785 0.235